! SrLiTc2 | the Alexandria database | GGA-PBE | optimized geometry; values from VASP
! Relative energy among the computed polymorphs: 13.23 kcal/mol of atoms
! ρ: 5.16 g/cm3
! Crystal system: tetragonal
! Space-group type: No. 122
! Calculated formation energy: 0.940 eV per atom
! Total magnetization: 0.00 μB per formula unit
&SYSTEM
  ibrav = 0, nat = 8, ntyp = 3
/
ATOMIC_SPECIES
Sr 87.62 Sr.upf
Li 6.94 Li.upf
Tc 98.00 Tc.upf
ATOMIC_POSITIONS angstrom
Sr 0.0000 0.0000 0.0000
Sr 0.0000 2.1892 4.8746
Li 2.1892 0.0000 4.8746
Li 0.0000 0.0000 9.7491
Tc 1.0946 -0.3491 7.3118
Tc 1.8401 1.0946 2.4373
Tc 1.0946 2.5384 -2.4373
Tc 0.3491 1.0946 12.1864
CELL_PARAMETERS angstrom
-2.1892 2.1892 9.7491
2.1892 -2.1892 9.7491
2.1892 2.1892 -9.7491

---

! PuAl4Ir | the Alexandria database | GGA-PBE | optimized geometry; values from VASP
! ρ: 7.37 g/cm3
! Crystal system: tetragonal
! Space-group type: No. 140
! Calculated formation energy: -0.228 eV per atom
! Total magnetization: 6.19 μB per formula unit
&SYSTEM
  ibrav = 0, nat = 12, ntyp = 3
/
ATOMIC_SPECIES
Pu 244.00 Pu.upf
Al 26.98 Al.upf
Ir 192.22 Ir.upf
ATOMIC_POSITIONS angstrom
Pu 0.0000 0.0000 0.0000
Pu 0.0000 0.0000 6.6647
Al 2.0767 -0.9554 2.1890
Al 3.9875 -0.9554 4.4757
Al 3.9875 0.9554 2.1890
Al 2.0767 0.9554 4.4757
Al 0.9554 2.0767 2.1890
Al -0.9554 2.0767 4.4757
Al -0.9554 3.9875 2.1890
Al 0.9554 3.9875 4.4757
Ir 0.0000 0.0000 3.3323
Ir 0.0000 0.0000 9.9970
CELL_PARAMETERS angstrom
-3.0321 3.0321 6.6647
3.0321 -3.0321 6.6647
3.0321 3.0321 -6.6647

---

! TbBe17V | the Alexandria database | GGA-PBE | optimized geometry; values from VASP
! ρ: 3.40 g/cm3
! Crystal system: trigonal
! Space-group type: No. 160
! Calculated formation energy: -0.101 eV per atom
! Total magnetization: 0.00 μB per formula unit
&SYSTEM
  ibrav = 0, nat = 19, ntyp = 3
/
ATOMIC_SPECIES
Tb 158.93 Tb.upf
Be 9.01 Be.upf
V 50.94 V.upf
ATOMIC_POSITIONS angstrom
Tb 0.0000 0.0000 0.0000
Be 0.0000 -2.1134 1.8831
Be -1.8303 1.0567 1.8831
Be -1.8589 -1.0732 5.3906
Be 0.0000 -2.1178 5.3038
Be -1.8341 1.0589 5.3038
Be -1.0517 -1.8933 7.2311
Be -2.1655 0.0359 7.2311
Be 1.8303 1.0567 1.8831
Be 0.0000 0.0000 6.1180
Be 1.0517 -1.8933 7.2311
Be -1.1138 1.8575 7.2311
Be 1.8589 -1.0732 5.3906
Be 0.0000 2.1464 5.3906
Be 0.0000 0.0000 8.2301
Be 1.8341 1.0589 5.3038
Be 2.1655 0.0359 7.2312
Be 1.1138 1.8575 7.2312
V 0.0000 0.0000 3.6053
CELL_PARAMETERS angstrom
3.7457 2.1626 3.6452
-3.7457 2.1626 3.6452
0.0000 -4.3252 3.6452